## i
The following is a DFT calculation (PBE) of a geometry-optimized Sr4HgRh structure.

Results
SG: F-43m, No. 216
Density: 5.09 g/cm3
Fermi-level density of states: 1.343 states/eV per atom

Lattice parameters (Å, degrees): 6.7066 6.7066 6.7066 60.00 60.00 60.00
Last column: nearest neighbours and their distance in Å.
Atoms (fractional coordinates):
Sr: 0.3758 0.3758 0.3758  6 Sr 3.33-3.38
Sr: 0.3758 0.3758 0.8726  6 Sr 3.33-3.38
Sr: 0.3758 0.8726 0.3758  6 Sr 3.33-3.38
Sr: 0.8726 0.3758 0.3758  6 Sr 3.33-3.38
Hg: 0.0000 0.0000 0.0000  12 Sr 3.93, 4 Rh 4.11
Rh: 0.7500 0.7500 0.7500  12 Sr 3.93, 4 Hg 4.11


## ii
The following is a DFT calculation (PBE) of a geometry-optimized Sr4HgRh structure.

Results
SG: C2/c, No. 15
Density: 4.96 g/cm3
Fermi-level density of states: 0.760 states/eV per atom

Lattice parameters (Å, degrees): 8.8568 8.8568 6.9301 106.50 106.50 111.27
Last column: nearest neighbours and their distance in Å.
Atoms (fractional coordinates):
Sr: 0.0547 0.7173 0.9184  2 Rh 3.17, 2 Hg 3.46-3.49
Sr: 0.2210 0.3488 0.7037  2 Rh 3.14-3.17, 1 Hg 3.44
Sr: 0.2827 0.9453 0.5816  2 Rh 3.17, 2 Hg 3.46-3.49
Sr: 0.3488 0.2210 0.2037  2 Rh 3.14-3.17, 1 Hg 3.44
Sr: 0.6512 0.7790 0.7963  2 Rh 3.14-3.17, 1 Hg 3.44
Sr: 0.7173 0.0547 0.4184  2 Rh 3.17, 2 Hg 3.46-3.49
Sr: 0.7790 0.6512 0.2963  2 Rh 3.14-3.17, 1 Hg 3.44
Sr: 0.9453 0.2827 0.0816  2 Rh 3.17, 2 Hg 3.46-3.49
Hg: 0.3653 0.6347 0.2500  8 Sr 3.44-3.53
Hg: 0.6347 0.3653 0.7500  8 Sr 3.44-3.53
Rh: 0.0005 0.9995 0.7500  8 Sr 3.14-3.17, 2 Rh 3.47
Rh: 0.9995 0.0005 0.2500  8 Sr 3.14-3.17, 2 Rh 3.47


## iii
The following is a DFT calculation (PBE) of a geometry-optimized Sr4HgRh structure.

Results
SG: C2/c, No. 15
Density: 4.58 g/cm3
Fermi-level density of states: 0.706 states/eV per atom

Lattice parameters (Å, degrees): 9.4039 9.4039 7.5339 109.22 109.22 115.39
Last column: nearest neighbours and their distance in Å.
Atoms (fractional coordinates):
Sr: 0.0558 0.6344 0.8403  1 Rh 2.88
Sr: 0.2018 0.2727 0.7338  2 Rh 2.97-3.10
Sr: 0.2727 0.2018 0.2338  2 Rh 2.97-3.10
Sr: 0.3656 0.9442 0.6597  1 Rh 2.88
Sr: 0.6344 0.0558 0.3403  1 Rh 2.88
Sr: 0.7273 0.7982 0.7662  2 Rh 2.97-3.10
Sr: 0.7982 0.7273 0.2662  2 Rh 2.97-3.10
Sr: 0.9442 0.3656 0.1597  1 Rh 2.88
Hg: 0.3710 0.6290 0.2500  8 Sr 3.36-3.66
Hg: 0.6290 0.3710 0.7500  8 Sr 3.36-3.66
Rh: 0.0832 0.9168 0.7500  6 Sr 2.88-3.10
Rh: 0.9168 0.0832 0.2500  6 Sr 2.88-3.10


Referenced to the most stable arrangement, the calculated values in meV/atom are i 1005; ii 0; iii 47.